4
Lattice="-1.536 -4.173 0.932 0.943 -3.929 2.078 -2.023 0.798 4.208" Properties=species:S:1:pos:R:3 comment="GGA-PBE LiZnIr2, optimized geometry" magnetic_moment_mub_per_cell=0.00 final_energy_ev_per_atom=-5.442 n_ef_per_ev_atom=0.72 pbc="T T T"
Li -1.962 -5.478 5.413
Ir -2.596 -7.269 7.167
Ir -1.328 -3.687 3.660
Zn -0.654 -1.826 1.804

=====

10
Lattice="4.377 0.000 6.670 -2.189 3.791 6.670 -2.189 -3.791 6.670" Properties=species:S:1:pos:R:3 comment="GGA-PBE Ca3SbP, optimized geometry" magnetic_moment_mub_per_cell=0.00 relative_energy_mev_per_atom=75.4 final_energy_ev_per_atom=-4.126 n_ef_per_ev_atom=0.00 pbc="T T T"
Ca -2.391 -1.612 11.595
Sb 0.000 0.000 7.290
Ca 2.391 1.612 8.416
Ca -0.200 2.877 11.595
Sb 0.000 0.000 12.721
Ca -2.592 1.265 8.416
Ca 2.592 -1.265 11.595
P 0.000 0.000 17.004
P 0.000 0.000 3.007
Ca 0.200 -2.877 8.416

=====

5
Lattice="4.011 0.000 0.000 0.000 4.011 0.000 0.000 0.000 4.011" Properties=species:S:1:pos:R:3 comment="GGA-PBE LiTcC3, optimized geometry" magnetic_moment_mub_per_cell=0.00 relative_energy_mev_per_atom=0.0 final_energy_ev_per_atom=-6.471 n_ef_per_ev_atom=0.56 pbc="T T T"
C 0.000 2.005 0.000
Tc 0.000 0.000 0.000
C 0.000 0.000 2.005
Li 2.005 2.005 2.005
C 2.005 0.000 0.000